The following is a PBE+U calculation of an optimized crystal structure of DyGaFeO4, from Alexandria via LeMat-Bulk.

Properties
size of the total moment	8.0	μB/cell
uncorrected energy	-7.00	eV per atom

Cell: 6.1818 6.2789 6.2789 Å, 62.23 60.51 60.51°
Site moments in Bohr magnetons follow the coordinates.
Fractional coordinates of all 14 atoms:
O 0.2577 0.7415 0.7430  0.06
Fe 0.5000 0.0000 0.5000  3.76
Ga 0.3759 0.3741 0.8741  0.01
O 0.2577 0.2430 0.2415  0.06
Ga 0.6241 0.6259 0.1259  0.01
O 0.2564 0.2461 0.7461  0.03
O 0.7423 0.2585 0.2570  0.06
O 0.2486 0.7539 0.2539  0.03
O 0.7423 0.7570 0.7585  0.06
Fe 0.0000 0.0000 0.5000  3.76
Dy 0.0000 0.0000 0.0000  -0.01
O 0.7436 0.7539 0.2539  0.03
Dy 0.0000 0.5000 0.5000  -0.01
O 0.7514 0.2461 0.7461  0.03